First-principles (GGA-PBE) data for crystalline AcTb12Y6 at its relaxed geometry, as listed in the Alexandria database.

Properties
For the energy of formation from the pure elements, the calculation gives 0.207 eV/atom. The value obtained for the total magnetization is 0.0 μB/cell. For the polymorph energy (0 for the lowest one), the calculation gives 0 meV/atom. The volume is 34.08 Å³/atom.

Unit cell a=13.3352 b=13.3352 c=12.6133 alpha=90.00 beta=90.00 gamma=120.00
Space group R-3m (No. 166, hexagonal axes)
Symmetry-distinct sites (fractional):
1 Ac 0.0000 0.0000 0.0000 (multiplicity 3)
2 Tb 0.0000 0.2572 0.5000 (multiplicity 18)
3 Tb 0.0922 0.1844 0.2633 (multiplicity 18)
4 Y 0.0322 0.5161 0.6224 (multiplicity 18)